Here is a relaxed structure of YRe2Ag from the Alexandria database. Energies are from PBE-GGA.

Space-group type: I4/mmm, No. 139
Distance to the lowest polymorph of the same formula (meV per atom): 435
ΔE_f (eV per atom): 0.5767
N(E_F) (states/eV per cell): 3.16

The structure in CIF format:
```
data_YRe2Ag
_space_group_name_H-M_alt 'P 1'
_space_group_IT_number 1
_cell_length_a 5.515
_cell_length_b 5.515
_cell_length_c 5.515
_cell_angle_alpha 138.22
_cell_angle_beta 138.22
_cell_angle_gamma 60.56
loop_
_space_group_symop_operation_xyz
'x,y,z'
loop_
_atom_site_label
_atom_site_fract_x
_atom_site_fract_y
_atom_site_fract_z
Y1 0.000 0.000 0.000
Re1 0.250 0.750 0.500
Re2 0.750 0.250 0.500
Ag1 0.500 0.500 0.000
```

---

Here is a relaxed structure of YRe2Ag from the Alexandria database. Energies are from PBE-GGA.

Space-group type: Pmmm, No. 47
Distance to the lowest polymorph of the same formula (meV per atom): 501
ΔE_f (eV per atom): 0.6434
N(E_F) (states/eV per cell): 3.21

The structure in CIF format:
```
data_YRe2Ag
_space_group_name_H-M_alt 'P 1'
_space_group_IT_number 1
_cell_length_a 2.666
_cell_length_b 4.616
_cell_length_c 6.032
_cell_angle_alpha 90.00
_cell_angle_beta 90.00
_cell_angle_gamma 90.00
loop_
_space_group_symop_operation_xyz
'x,y,z'
loop_
_atom_site_label
_atom_site_fract_x
_atom_site_fract_y
_atom_site_fract_z
Y1 0.000 0.000 0.000
Re1 0.500 0.500 0.291
Re2 0.500 0.500 0.709
Ag1 0.000 0.000 0.500
```

---

Here is a relaxed structure of YRe2Ag from the Alexandria database. Energies are from PBE-GGA.

Space-group type: Pmmm, No. 47
Distance to the lowest polymorph of the same formula (meV per atom): 296
ΔE_f (eV per atom): 0.4380
N(E_F) (states/eV per cell): 2.43

The structure in CIF format:
```
data_YRe2Ag
_space_group_name_H-M_alt 'P 1'
_space_group_IT_number 1
_cell_length_a 3.324
_cell_length_b 4.487
_cell_length_c 4.831
_cell_angle_alpha 90.00
_cell_angle_beta 90.00
_cell_angle_gamma 90.00
loop_
_space_group_symop_operation_xyz
'x,y,z'
loop_
_atom_site_label
_atom_site_fract_x
_atom_site_fract_y
_atom_site_fract_z
Y1 0.000 0.000 0.000
Re1 0.000 0.500 0.500
Re2 0.500 0.000 0.500
Ag1 0.500 0.500 0.000
```